4
Lattice="0.000 2.615 2.615 2.615 0.000 2.615 2.615 2.615 0.000" Properties=species:S:1:pos:R:3 comment="GGA-PBE ZnHF2, relaxed" rho_g_cm3=4.850 crystal_system=cubic n_ef_per_ev_cell=0.66 spacegroup=Fm-3m final_energy_ev_per_atom=-3.02 pbc="T T T"
H 0.000 0.000 0.000
Zn 2.615 2.615 2.615
F 1.307 1.307 1.307
F 3.922 3.922 3.922

9
Lattice="-0.077 -2.992 -0.657 4.642 -0.815 -3.981 4.027 -2.535 3.927" Properties=species:S:1:pos:R:3 comment="GGA-PBE Dy2NbB6, relaxed" rho_g_cm3=7.348 crystal_system=orthorhombic n_ef_per_ev_cell=3.81 spacegroup=Immm final_energy_ev_per_atom=-6.45 pbc="T T T"
Dy 1.266 -1.549 -0.238
Dy 7.326 -4.792 -0.472
Nb 4.296 -3.171 -0.355
B 2.798 -1.184 -2.085
B 5.793 -5.158 1.374
B 6.095 -4.314 -2.509
B 4.172 -2.127 2.053
B 4.496 -1.223 -2.107
B 2.496 -2.028 1.798

12
Lattice="-0.983 3.025 -3.121 -7.051 -3.391 -1.067 -3.481 5.281 6.214" Properties=species:S:1:pos:R:3 comment="GGA-PBE Na2AcGaGe2, relaxed" rho_g_cm3=5.194 crystal_system=orthorhombic n_ef_per_ev_cell=1.71 spacegroup=Pmc2_1 final_energy_ev_per_atom=-3.53 pbc="T T T"
Na -0.958 1.777 -1.158
Na -3.031 -0.380 0.586
Na -7.475 4.620 3.650
Na -8.958 1.568 4.340
Ac -8.541 -1.067 1.654
Ac -5.452 1.292 2.969
Ga -3.937 4.616 2.533
Ga -6.177 0.971 -0.295
Ge -4.501 3.615 4.921
Ge -3.826 2.538 0.484
Ge -5.722 -1.577 0.273
Ge -8.200 2.130 1.464

12
Lattice="4.719 0.000 -0.968 0.000 6.893 0.000 0.060 0.000 12.286" Properties=species:S:1:pos:R:3 comment="GGA-PBE SrNdPb4, relaxed" rho_g_cm3=8.805 crystal_system=orthorhombic n_ef_per_ev_cell=4.24 spacegroup=Cmcm final_energy_ev_per_atom=-3.94 pbc="T T T"
Sr 3.444 1.723 4.805
Sr 1.336 5.170 6.514
Nd 2.090 1.723 10.195
Nd 2.689 5.170 1.124
Pb 0.000 0.000 0.000
Pb 0.000 3.447 0.000
Pb 0.714 6.796 3.480
Pb 4.066 3.349 7.838
Pb 0.714 3.544 3.480
Pb 4.066 0.098 7.838
Pb 2.741 1.723 1.376
Pb 2.039 5.170 9.943

5
Lattice="-4.460 0.274 -2.149 2.071 -0.909 -4.412 -0.638 -4.866 0.703" Properties=species:S:1:pos:R:3 comment="GGA-PBE InCu3Te, relaxed" rho_g_cm3=5.900 crystal_system=cubic n_ef_per_ev_cell=2.68 spacegroup=Pm-3m e_form_raw_ev_per_atom=0.58 final_energy_ev_per_atom=-3.05 pbc="T T T"
Te 0.000 0.000 0.000
Cu 1.035 -0.454 -2.206
Cu -0.319 -2.433 0.351
Cu -2.230 0.137 -1.075
In -1.513 -2.750 -2.930

36
Lattice="-2.256 9.063 2.702 -5.046 -4.362 -7.074 -6.355 -3.593 6.748" Properties=species:S:1:pos:R:3 comment="GGA-PBE Tb7Co6Sn23, relaxed" rho_g_cm3=8.562 crystal_system=trigonal n_ef_per_ev_cell=12.15 spacegroup=P-3m1 final_energy_ev_per_atom=-5.06 pbc="T T T"
Tb 0.000 0.000 0.000
Tb -5.662 0.954 -0.330
Tb -7.994 0.155 2.706
Tb -7.853 -0.940 -3.402
Tb -5.803 2.048 5.777
Tb -4.682 -2.981 -1.503
Tb -8.974 4.090 3.879
Co -3.981 6.097 2.394
Co -9.675 -4.989 -0.018
Co -6.483 3.934 -1.115
Co -7.172 -2.826 3.490
Co -2.862 1.602 1.054
Co -10.794 -0.494 1.322
Sn -0.782 3.141 0.936
Sn -1.474 5.922 1.766
Sn -1.749 -1.512 -2.452
Sn -3.297 -2.850 -4.623
Sn -4.771 3.072 -2.857
Sn -2.530 1.629 -1.515
Sn -9.322 -2.831 1.713
Sn -4.334 3.939 0.663
Sn -3.177 -1.797 3.374
Sn -5.737 4.517 3.626
Sn -7.919 -3.408 -1.251
Sn -7.488 3.002 1.170
Sn -6.168 -1.894 1.205
Sn -4.954 1.370 2.688
Sn -8.702 -0.262 -0.313
Sn -4.839 -0.296 -3.047
Sn -8.817 1.404 5.423
Sn -6.456 -3.773 -4.087
Sn -7.200 4.881 6.462
Sn -3.181 -0.942 0.505
Sn -10.475 2.050 1.871
Sn -7.920 2.109 -2.333
Sn -5.736 -1.001 4.708

5
Lattice="-0.076 -3.727 3.678 1.993 -3.423 -3.427 4.843 1.350 1.468" Properties=species:S:1:pos:R:3 comment="GGA-PBE NbSn3W, relaxed" rho_g_cm3=7.316 crystal_system=cubic n_ef_per_ev_cell=6.28 spacegroup=Pm-3m final_energy_ev_per_atom=-5.82 pbc="T T T"
Nb 3.380 -2.900 0.860
Sn 0.996 -1.711 -1.713
Sn 2.421 0.675 0.734
Sn -0.038 -1.864 1.839
W 0.000 0.000 0.000

18
Lattice="-6.223 0.467 -4.344 -0.963 -5.362 -5.304 -5.477 -5.138 1.187" Properties=species:S:1:pos:R:3 comment="GGA-PBE Cs2Pu3ScO12, relaxed" rho_g_cm3=6.225 crystal_system=trigonal n_ef_per_ev_cell=7.97 spacegroup=R-3m e_form_raw_ev_per_atom=-2.56 final_energy_ev_per_atom=-8.70 pbc="T T T"
Cs -7.936 -6.287 -5.302
Cs -4.727 -3.745 -3.159
Pu -3.111 0.234 -2.172
Pu -0.481 -2.681 -2.652
Pu -2.739 -2.569 0.594
Sc 0.000 0.000 0.000
O -7.417 -6.372 -1.946
O -8.486 -6.231 -8.659
O -8.027 -9.687 -5.248
O -7.879 -2.891 -5.380
O -11.270 -6.093 -4.656
O -4.613 -6.511 -5.977
O -5.246 -3.661 -6.515
O -4.177 -3.801 0.198
O -4.636 -0.345 -3.212
O -4.784 -7.141 -3.081
O -1.393 -3.939 -3.805
O -8.050 -3.522 -2.484

12
Lattice="-1.377 2.034 -3.073 -7.092 -3.512 0.852 0.095 6.083 6.502" Properties=species:S:1:pos:R:3 comment="GGA-PBE K2RbTl3F6, relaxed" rho_g_cm3=5.601 crystal_system=monoclinic n_ef_per_ev_cell=0.00 spacegroup=C2/m e_form_raw_ev_per_atom=-2.22 final_energy_ev_per_atom=-4.01 pbc="T T T"
K -5.775 3.411 2.327
K -2.598 1.194 1.955
Rb -0.688 1.017 -1.536
Tl -4.234 -0.739 -1.110
Tl -2.293 5.096 1.883
Tl -6.081 -0.492 2.399
F -6.746 1.505 4.018
F -5.007 1.419 0.664
F -1.628 3.100 0.263
F -1.841 -0.775 0.312
F -6.532 5.379 3.970
F -3.367 3.186 3.618

4
Lattice="0.000 3.214 3.214 3.214 0.000 3.214 3.214 3.214 0.000" Properties=species:S:1:pos:R:3 comment="GGA-PBE AgAu2F, relaxed" rho_g_cm3=13.023 crystal_system=cubic n_ef_per_ev_cell=0.82 spacegroup=Fm-3m e_form_raw_ev_per_atom=-0.16 final_energy_ev_per_atom=-2.98 pbc="T T T"
Au 1.607 1.607 1.607
Au 4.821 4.821 4.821
Ag 3.214 3.214 3.214
F 0.000 0.000 0.000

5
Lattice="6.314 0.000 0.000 0.000 6.574 0.000 0.000 0.000 6.314" Properties=species:S:1:pos:R:3 comment="GGA-PBE ScTl2HgI, relaxed" rho_g_cm3=4.950 crystal_system=tetragonal n_ef_per_ev_cell=10.62 spacegroup=P4/mmm e_form_raw_ev_per_atom=0.67 final_energy_ev_per_atom=-1.91 pbc="T T T"
I 0.000 0.000 0.000
Sc 3.157 3.287 3.157
Tl 0.000 0.000 3.157
Tl 3.157 0.000 0.000
Hg 0.000 3.287 0.000

4
Lattice="5.290 -0.114 0.097 4.328 3.045 0.097 1.177 0.358 4.530" Properties=species:S:1:pos:R:3 comment="GGA-PBE Sc2ReAu, relaxed" rho_g_cm3=10.501 crystal_system=monoclinic n_ef_per_ev_cell=3.44 spacegroup=Cm final_energy_ev_per_atom=-7.29 pbc="T T T"
Au 5.530 1.685 2.560
Re 2.595 0.791 0.942
Sc 9.536 2.905 0.475
Sc 8.150 2.483 3.301

12
Lattice="7.336 0.000 -0.001 -3.666 6.354 -0.001 -1.225 -2.121 8.374" Properties=species:S:1:pos:R:3 comment="GGA-PBE Cs3Ho2InSe6, relaxed" rho_g_cm3=5.603 crystal_system=monoclinic spacegroup=C2/m e_form_raw_ev_per_atom=-1.40 final_energy_ev_per_atom=-4.34 pbc="T T T"
Cs -2.429 4.226 4.186
Cs 4.874 0.008 4.186
Cs 1.222 2.117 4.186
Ho 0.004 4.235 -0.001
Ho 3.666 2.120 -0.001
In 0.000 0.000 0.000
Se 3.651 2.144 6.838
Se 2.461 4.261 1.543
Se -1.206 2.090 1.534
Se 0.032 4.234 6.838
Se -0.016 -0.027 6.830
Se 2.413 0.000 1.534

5
Lattice="3.980 0.000 0.000 0.000 3.980 0.000 0.000 0.000 5.594" Properties=species:S:1:pos:R:3 comment="GGA-PBE AlPIO2, relaxed" rho_g_cm3=4.065 crystal_system=tetragonal n_ef_per_ev_cell=0.88 spacegroup=P4/mmm e_form_raw_ev_per_atom=0.20 final_energy_ev_per_atom=-3.92 pbc="T T T"
I 0.000 0.000 0.000
P 0.000 0.000 2.797
Al 1.990 1.990 2.797
O 0.000 1.990 0.000
O 1.990 0.000 0.000

5
Lattice="-2.811 -0.753 3.651 1.292 -4.486 0.069 3.497 1.052 2.910" Properties=species:S:1:pos:R:3 comment="GGA-PBE TiRh3W, relaxed" rho_g_cm3=8.816 crystal_system=cubic n_ef_per_ev_cell=10.16 spacegroup=Pm-3m final_energy_ev_per_atom=-7.56 pbc="T T T"
Rh 0.646 -2.243 0.035
Rh 1.748 0.526 1.455
Rh -1.406 -0.377 1.825
W 0.000 0.000 0.000
Ti 0.989 -2.094 3.315

4
Lattice="0.000 2.944 2.944 2.944 0.000 2.944 2.944 2.944 0.000" Properties=species:S:1:pos:R:3 comment="GGA-PBE MgHgH2, relaxed" rho_g_cm3=7.380 crystal_system=cubic n_ef_per_ev_cell=0.99 spacegroup=Fm-3m final_energy_ev_per_atom=-1.72 pbc="T T T"
H 1.472 1.472 1.472
H 4.417 4.417 4.417
Mg 0.000 0.000 0.000
Hg 2.944 2.944 2.944

5
Lattice="-1.259 4.918 0.958 -1.500 0.588 -4.991 -4.787 -1.472 1.265" Properties=species:S:1:pos:R:3 comment="GGA-PBE ScTiCd2In, relaxed" rho_g_cm3=5.131 crystal_system=tetragonal n_ef_per_ev_cell=4.29 spacegroup=P4/mmm final_energy_ev_per_atom=-3.01 pbc="T T T"
Sc -3.773 2.017 -1.384
Cd -2.394 -0.736 0.633
Cd -0.630 2.459 0.479
Ti -0.750 0.294 -2.495
In 0.000 0.000 0.000

4
Lattice="9.754 0.040 0.023 9.172 3.320 0.023 9.172 1.628 2.893" Properties=species:S:1:pos:R:3 comment="GGA-PBE ScAg2Pb, relaxed" rho_g_cm3=8.452 crystal_system=trigonal n_ef_per_ev_cell=2.52 spacegroup=R-3m final_energy_ev_per_atom=-3.93 pbc="T T T"
Ag 27.896 4.952 2.919
Ag 14.252 2.530 1.491
Pb 21.074 3.741 2.205
Sc 7.025 1.247 0.735

12
Lattice="-3.697 5.150 -3.050 2.586 -5.261 -3.890 -5.223 -3.416 3.274" Properties=species:S:1:pos:R:3 comment="GGA-PBE Ce2Pr3SmS6, relaxed" rho_g_cm3=6.102 crystal_system=monoclinic n_ef_per_ev_cell=13.02 spacegroup=C2/m e_form_raw_ev_per_atom=-2.03 final_energy_ev_per_atom=-6.68 pbc="T T T"
Ce 0.489 -1.787 -3.610
Ce -1.601 1.676 -3.330
Pr -1.064 -5.248 -2.114
Pr -5.270 1.721 -1.552
Pr -3.167 -1.763 -1.833
Sm 0.000 0.000 0.000
S -5.837 -0.934 -2.604
S -2.096 -0.910 -4.396
S -0.497 -2.593 -1.062
S -3.743 -4.404 -2.884
S -4.238 -2.617 0.730
S -2.591 0.877 -0.782

4
Lattice="5.382 0.000 0.000 2.691 4.661 0.000 2.691 1.554 4.394" Properties=species:S:1:pos:R:3 comment="GGA-PBE PmDyHoAl, relaxed" rho_g_cm3=7.523 crystal_system=cubic n_ef_per_ev_cell=7.02 spacegroup=F-43m final_energy_ev_per_atom=-4.47 pbc="T T T"
Al 2.691 1.554 1.099
Pm 5.382 3.107 2.197
Ho 8.073 4.661 3.296
Dy 0.000 0.000 0.000

4
Lattice="-4.404 2.773 0.852 -3.768 -1.936 3.141 -0.872 2.178 4.723" Properties=species:S:1:pos:R:3 comment="GGA-PBE SmHoAgSn, relaxed" rho_g_cm3=8.675 crystal_system=cubic n_ef_per_ev_cell=4.14 spacegroup=F-43m final_energy_ev_per_atom=-4.55 pbc="T T T"
Ag -4.523 1.508 4.358
Ho -6.784 2.262 6.537
Sm -2.261 0.754 2.179
Sn 0.000 0.000 0.000

12
Lattice="-2.131 -2.021 -3.725 -1.076 -2.100 1.755 -12.141 8.275 2.457" Properties=species:S:1:pos:R:3 comment="GGA-PBE NbHgRh, relaxed" rho_g_cm3=12.671 crystal_system=orthorhombic n_ef_per_ev_cell=7.81 spacegroup=Amm2 final_energy_ev_per_atom=-5.95 pbc="T T T"
Nb -7.464 5.087 1.511
Nb -1.931 -0.101 1.159
Nb -5.820 2.230 -0.900
Nb -12.429 5.317 1.206
Hg -3.462 2.359 0.701
Hg -10.070 5.447 2.807
Hg -1.808 -0.504 -1.712
Hg -8.417 2.583 0.394
Rh -11.594 7.902 2.347
Rh -6.062 2.715 1.995
Rh -9.916 5.022 -0.071
Rh -4.383 -0.166 -0.422

10
Lattice="-3.683 -1.913 0.685 -0.217 -1.038 -4.070 4.832 -8.608 1.938" Properties=species:S:1:pos:R:3 comment="GGA-PBE Th2Si3GeIr4, relaxed" rho_g_cm3=12.967 crystal_system=tetragonal n_ef_per_ev_cell=5.28 spacegroup=P-4m2 e_form_raw_ev_per_atom=-1.03 final_energy_ev_per_atom=-8.15 pbc="T T T"
Th -0.620 -3.132 0.832
Th 3.502 -6.951 -0.587
Si 2.416 -4.304 0.969
Si 2.365 -8.450 2.029
Si 0.517 -1.634 -1.784
Ge 0.466 -5.780 -0.724
Ir -1.950 -1.476 -1.693
Ir 0.000 0.000 0.000
Ir 1.212 -6.396 1.567
Ir 1.670 -3.687 -1.322

4
Lattice="-3.814 2.021 1.304 -0.961 -2.837 1.584 3.659 0.873 3.783" Properties=species:S:1:pos:R:3 comment="GGA-PBE KHIrCl, relaxed" rho_g_cm3=5.722 crystal_system=monoclinic n_ef_per_ev_cell=1.20 spacegroup=Pm final_energy_ev_per_atom=-3.95 pbc="T T T"
K -4.054 0.522 2.099
H 0.749 -0.152 3.806
Ir 1.008 1.122 2.620
Cl -1.164 1.942 2.771